Entry 1:
Entry from Alexandria: a crystal of Sm2TeO6 relaxed with PBEsol (SCAN).

a = 9.1128 Å, b = 9.1128 Å, c = 5.3348 Å
α = 90.00°, β = 90.00°, γ = 120.00°
With the nearest neighbours (Å) after each atom.
Sites, in units of the cell vectors:
Sm1 0.0000 0.2712 0.0000  6 O 2.26-2.40
Sm2 0.0000 0.6088 0.5000  6 O 2.28-2.42
Sm3 0.2712 0.0000 0.0000  6 O 2.26-2.40
Sm4 0.3912 0.3912 0.5000  6 O 2.28-2.42
Sm5 0.6088 0.0000 0.5000  6 O 2.28-2.42
Sm6 0.7288 0.7288 0.0000  6 O 2.26-2.40
Te1 0.0000 0.0000 0.5000  6 O 1.94
Te2 0.3333 0.6667 0.9879  6 O 1.94-1.95
Te3 0.6667 0.3333 0.0121  6 O 1.94-1.95
O1 0.0631 0.8684 0.2868  1 Te 1.94
O2 0.1316 0.1947 0.2868  1 Te 1.94
O3 0.1349 0.5443 0.1978  1 Te 1.94
O4 0.1947 0.1316 0.7132  1 Te 1.94
O5 0.2328 0.4665 0.7742  1 Te 1.95
O6 0.2337 0.7672 0.7742  1 Te 1.95
O7 0.4093 0.8650 0.1978  1 Te 1.94
O8 0.4557 0.5907 0.1978  1 Te 1.94
O9 0.4665 0.2328 0.2258  1 Te 1.95
O10 0.5335 0.7663 0.7742  1 Te 1.95
O11 0.5443 0.1349 0.8022  1 Te 1.94
O12 0.5907 0.4557 0.8022  1 Te 1.94
O13 0.7663 0.5335 0.2258  1 Te 1.95
O14 0.7672 0.2337 0.2258  1 Te 1.95
O15 0.8053 0.9369 0.2868  1 Te 1.94
O16 0.8650 0.4093 0.8022  1 Te 1.94
O17 0.8684 0.0631 0.7132  1 Te 1.94
O18 0.9369 0.8053 0.7132  1 Te 1.94

Its energy relative to the elements, uncorrected is -2.748 eV per atom. As for the energy above the most stable polymorph in this dataset: 0.028 eV per atom. For the calculated volume, the calculation gives 14.2 Å³ per atom. The space group is No. 150. The value obtained for the calculated density is 6.81 g/cm³.


Entry 2:
Entry from Alexandria: a crystal of Sm2TeO6 relaxed with PBEsol (SCAN).

a = 5.3618 Å, b = 9.2059 Å, c = 10.0677 Å
α = 90.00°, β = 90.00°, γ = 90.00°
With the nearest neighbours (Å) after each atom.
Sites, in units of the cell vectors:
Sm1 0.0251 0.1035 0.4615  6 O 2.29-2.47
Sm2 0.0365 0.2175 0.8649  7 O 2.31-2.49
Sm3 0.4635 0.7825 0.3649  7 O 2.31-2.49
Sm4 0.4749 0.8965 0.9615  6 O 2.29-2.47
Sm5 0.5251 0.3965 0.5385  6 O 2.29-2.47
Sm6 0.5365 0.2825 0.1351  7 O 2.31-2.49
Sm7 0.9635 0.7175 0.6351  7 O 2.31-2.49
Sm8 0.9749 0.6035 0.0385  6 O 2.29-2.47
Te1 0.0418 0.4951 0.3541  6 O 1.91-1.97
Te2 0.4582 0.5049 0.8541  6 O 1.91-1.97
Te3 0.5418 0.0049 0.6459  6 O 1.91-1.97
Te4 0.9582 0.9951 0.1459  6 O 1.91-1.97
O1 0.0732 0.8478 0.0237  1 Te 1.93
O2 0.1678 0.9469 0.2928  1 Te 1.91
O3 0.1826 0.6395 0.2392  1 Te 1.92
O4 0.1851 0.6399 0.8224  1 Te 1.95
O5 0.2263 0.1120 0.0659  1 Te 1.97
O6 0.2488 0.5877 0.4921  1 Te 1.97
O7 0.2512 0.4123 0.9921  1 Te 1.97
O8 0.2737 0.8880 0.5659  1 Te 1.97
O9 0.3149 0.3601 0.3224  1 Te 1.95
O10 0.3174 0.3605 0.7392  1 Te 1.92
O11 0.3322 0.0531 0.7928  1 Te 1.91
O12 0.4268 0.1522 0.5237  1 Te 1.93
O13 0.5732 0.6522 0.9763  1 Te 1.93
O14 0.6678 0.5531 0.7072  1 Te 1.91
O15 0.6826 0.8605 0.7608  1 Te 1.92
O16 0.6851 0.8601 0.1776  1 Te 1.95
O17 0.7263 0.3880 0.9341  1 Te 1.97
O18 0.7488 0.9123 0.5079  1 Te 1.97
O19 0.7512 0.0877 0.0079  1 Te 1.97
O20 0.7737 0.6120 0.4341  1 Te 1.97
O21 0.8149 0.1399 0.6776  1 Te 1.95
O22 0.8174 0.1395 0.2608  1 Te 1.92
O23 0.8322 0.4469 0.2072  1 Te 1.91
O24 0.9268 0.3478 0.4763  1 Te 1.93

Its energy relative to the elements, uncorrected is -2.777 eV per atom. As for the energy above the most stable polymorph in this dataset: 0.000 eV per atom. For the calculated volume, the calculation gives 13.8 Å³ per atom. The space group is No. 19. The value obtained for the calculated density is 7.01 g/cm³.


Entry 3:
Entry from Alexandria: a crystal of Sm2TiO5 relaxed with PBEsol (SCAN).

a = 7.5939 Å, b = 3.6449 Å, c = 15.6912 Å
α = 90.00°, β = 90.00°, γ = 90.00°
With the nearest neighbours (Å) after each atom.
Sites, in units of the cell vectors:
Sm1 0.1120 0.2500 0.2379  6 O 2.28-2.37
Sm2 0.1518 0.2500 0.5727  7 O 2.30-2.56
Sm3 0.3482 0.7500 0.0727  7 O 2.30-2.56
Sm4 0.3880 0.7500 0.7379  6 O 2.28-2.37
Sm5 0.6120 0.2500 0.2621  6 O 2.28-2.37
Sm6 0.6518 0.2500 0.9273  7 O 2.30-2.56
Sm7 0.8482 0.7500 0.4273  7 O 2.30-2.56
Sm8 0.8880 0.7500 0.7621  6 O 2.28-2.37
Ti1 0.1508 0.2500 0.9151  5 O 1.81-1.98
Ti2 0.3492 0.7500 0.4151  5 O 1.81-1.98
Ti3 0.6508 0.2500 0.5849  5 O 1.81-1.98
Ti4 0.8492 0.7500 0.0849  5 O 1.81-1.98
O1 0.0770 0.7500 0.1462  1 Ti 1.98
O2 0.1176 0.7500 0.6687  4 Sm 2.28-2.38
O3 0.1178 0.7500 0.9533  2 Ti 1.93
O4 0.1395 0.7500 0.4839  1 Ti 1.92
O5 0.2272 0.7500 0.3163  1 Ti 1.81
O6 0.2728 0.2500 0.8163  1 Ti 1.81
O7 0.3605 0.2500 0.9839  1 Ti 1.92
O8 0.3824 0.2500 0.1687  4 Sm 2.28-2.38
O9 0.3822 0.2500 0.4533  2 Ti 1.93
O10 0.4230 0.2500 0.6462  1 Ti 1.98
O11 0.5770 0.7500 0.3538  1 Ti 1.98
O12 0.6178 0.7500 0.5467  2 Ti 1.93
O13 0.6176 0.7500 0.8313  4 Sm 2.28-2.38
O14 0.6395 0.7500 0.0161  1 Ti 1.92
O15 0.7272 0.7500 0.1837  1 Ti 1.81
O16 0.7728 0.2500 0.6837  1 Ti 1.81
O17 0.8605 0.2500 0.5161  1 Ti 1.92
O18 0.8822 0.2500 0.0467  2 Ti 1.93
O19 0.8824 0.2500 0.3313  4 Sm 2.28-2.38
O20 0.9230 0.2500 0.8538  1 Ti 1.98

Its energy relative to the elements, uncorrected is -3.653 eV per atom. For the calculated volume, the calculation gives 13.6 Å³ per atom. The space group is No. 62. The value obtained for the calculated density is 6.55 g/cm³.


Entry 4:
Entry from Alexandria: a crystal of SmTlO3 relaxed with PBEsol (SCAN).

a = 6.0023 Å, b = 8.4998 Å, c = 5.6228 Å
α = 90.00°, β = 90.00°, γ = 90.00°
With the nearest neighbours (Å) after each atom.
Sites, in units of the cell vectors:
Sm1 0.0697 0.2500 0.0277  4 O 2.27-2.36
Sm2 0.4303 0.7500 0.5277  4 O 2.27-2.36
Sm3 0.5697 0.2500 0.4723  4 O 2.27-2.36
Sm4 0.9303 0.7500 0.9723  4 O 2.27-2.36
Tl1 0.0000 0.0000 0.5000  6 O 2.19-2.34
Tl2 0.0000 0.5000 0.5000  6 O 2.19-2.34
Tl3 0.5000 0.0000 0.0000  6 O 2.19-2.34
Tl4 0.5000 0.5000 0.0000  6 O 2.19-2.34
O1 0.0763 0.7500 0.3453  2 Sm 2.27-2.36, 2 Tl 2.34
O2 0.1906 0.5816 0.8090  2 Tl 2.19-2.25, 1 Sm 2.31
O3 0.1906 0.9184 0.8090  2 Tl 2.19-2.25, 1 Sm 2.31
O4 0.3094 0.0816 0.3090  2 Tl 2.19-2.25, 1 Sm 2.31
O5 0.3094 0.4184 0.3090  2 Tl 2.19-2.25, 1 Sm 2.31
O6 0.4237 0.2500 0.8453  2 Sm 2.27-2.36, 2 Tl 2.34
O7 0.5763 0.7500 0.1547  2 Sm 2.27-2.36, 2 Tl 2.34
O8 0.6906 0.5816 0.6910  2 Tl 2.19-2.25, 1 Sm 2.31
O9 0.6906 0.9184 0.6910  2 Tl 2.19-2.25, 1 Sm 2.31
O10 0.8094 0.0816 0.1910  2 Tl 2.19-2.25, 1 Sm 2.31
O11 0.8094 0.4184 0.1910  2 Tl 2.19-2.25, 1 Sm 2.31
O12 0.9237 0.2500 0.6547  2 Sm 2.27-2.36, 2 Tl 2.34

Its energy relative to the elements, uncorrected is -2.197 eV per atom. For the calculated volume, the calculation gives 14.3 Å³ per atom. The space group is No. 62. The value obtained for the calculated density is 9.33 g/cm³.